Entry 1:
# PBE-GGA LaTb3, optimized geometry
data_LaTb3
_symmetry_space_group_name_H-M 'F m -3 m'
_symmetry_Int_Tables_number 225
_symmetry_space_group_name_Hall '-F 4 2 3'
_cell_length_a 8.135
_cell_length_b 8.135
_cell_length_c 8.135
_cell_angle_alpha 90.00
_cell_angle_beta 90.00
_cell_angle_gamma 90.00
loop_
_atom_site_label
_atom_site_fract_x
_atom_site_fract_y
_atom_site_fract_z
La1 0.000 0.000 0.000
Tb1 0.000 0.000 0.500
Tb2 0.250 0.250 0.250
# - density (g/cm³) = 7.59
# - final energy (eV per atom) = -4.574

=====

Entry 2:
# PBE-GGA Ti2TcBiP, optimized geometry
data_Ti2TcBiP
_symmetry_space_group_name_H-M 'P 4/m m m'
_symmetry_Int_Tables_number 123
_symmetry_space_group_name_Hall '-P 4 2'
_cell_length_a 4.717
_cell_length_b 4.717
_cell_length_c 5.146
_cell_angle_alpha 90.00
_cell_angle_beta 90.00
_cell_angle_gamma 90.00
loop_
_atom_site_label
_atom_site_fract_x
_atom_site_fract_y
_atom_site_fract_z
Ti1 0.000 0.500 0.000
Tc1 0.000 0.000 0.000
Bi1 0.000 0.000 0.500
P1 0.500 0.500 0.500
# - density (g/cm³) = 6.29
# - final energy (eV per atom) = -6.419

=====

Entry 3:
# PBE-GGA PmSm5Th2, optimized geometry
data_PmSm5Th2
_symmetry_space_group_name_H-M 'C 1 2/m 1'
_symmetry_Int_Tables_number 12
_symmetry_space_group_name_Hall '-C 2y'
_cell_length_a 13.898
_cell_length_b 11.350
_cell_length_c 3.558
_cell_angle_alpha 90.00
_cell_angle_beta 104.78
_cell_angle_gamma 90.00
loop_
_atom_site_label
_atom_site_fract_x
_atom_site_fract_y
_atom_site_fract_z
Pm1 0.000 0.000 0.000
Sm1 0.000 0.500 0.000
Sm2 0.131 0.267 0.631
Th1 0.241 0.000 0.740
# - density (g/cm³) = 8.33
# - final energy (eV per atom) = -5.294

=====

Entry 4:
# PBE-GGA MgSnWN2, optimized geometry
data_MgSnWN2
_symmetry_space_group_name_H-M 'P 4/m m m'
_symmetry_Int_Tables_number 123
_symmetry_space_group_name_Hall '-P 4 2'
_cell_length_a 3.971
_cell_length_b 3.971
_cell_length_c 5.708
_cell_angle_alpha 90.00
_cell_angle_beta 90.00
_cell_angle_gamma 90.00
loop_
_atom_site_label
_atom_site_fract_x
_atom_site_fract_y
_atom_site_fract_z
Mg1 0.000 0.000 0.000
Sn1 0.500 0.500 0.000
W1 0.500 0.500 0.500
N1 0.000 0.500 0.500
# - formation energy without anion corrections (kJ/mol of atoms) = 39.34
# - density (g/cm³) = 6.55
# - final energy (eV per atom) = -6.633

=====

Entry 5:
# PBE-GGA Th2Bi2Te, optimized geometry
data_Th2Bi2Te
_symmetry_space_group_name_H-M 'I m m m'
_symmetry_Int_Tables_number 71
_symmetry_space_group_name_Hall '-I 2 2'
_cell_length_a 4.533
_cell_length_b 6.385
_cell_length_c 13.844
_cell_angle_alpha 90.00
_cell_angle_beta 90.00
_cell_angle_gamma 90.00
loop_
_atom_site_label
_atom_site_fract_x
_atom_site_fract_y
_atom_site_fract_z
Th1 0.000 0.000 0.166
Bi1 0.000 0.500 0.168
Te1 0.000 0.500 0.500
# - formation energy without anion corrections (kJ/mol of atoms) = -55.29
# - density (g/cm³) = 8.37
# - final energy (eV per atom) = -5.722

=====

Entry 6:
# PBE-GGA YTaFe2, optimized geometry
data_YTaFe2
_symmetry_space_group_name_H-M 'P 4 m m'
_symmetry_Int_Tables_number 99
_symmetry_space_group_name_Hall 'P 4 -2'
_cell_length_a 3.129
_cell_length_b 3.129
_cell_length_c 7.102
_cell_angle_alpha 90.00
_cell_angle_beta 90.00
_cell_angle_gamma 90.00
loop_
_atom_site_label
_atom_site_fract_x
_atom_site_fract_y
_atom_site_fract_z
Y1 0.000 0.000 0.000
Ta1 0.500 0.500 0.666
Fe1 0.000 0.000 0.468
Fe2 0.500 0.500 0.292
# - density (g/cm³) = 9.11
# - final energy (eV per atom) = -8.615

=====

Entry 7:
# PBE-GGA NaTlCdBr6, optimized geometry
data_NaTlCdBr6
_symmetry_space_group_name_H-M 'P -3 1 c'
_symmetry_Int_Tables_number 163
_symmetry_space_group_name_Hall '-P 3 2c'
_cell_length_a 7.1433
_cell_length_b 7.1433
_cell_length_c 13.3307
_cell_angle_alpha 90.00
_cell_angle_beta 90.00
_cell_angle_gamma 120.00
loop_
_atom_site_label
_atom_site_fract_x
_atom_site_fract_y
_atom_site_fract_z
Na1 0.0000 0.0000 0.0000
Tl1 0.3333 0.6667 0.2500
Cd1 0.3333 0.6667 0.7500
Br1 0.0006 0.3561 0.1294
# - formation energy without anion corrections (kJ/mol of atoms) = -79.18
# - density (g/cm³) = 4.62
# - final energy (eV per atom) = -2.447

=====

Entry 8:
# PBE-GGA NbOsAu2I, optimized geometry
data_NbOsAu2I
_symmetry_space_group_name_H-M 'P 4/m m m'
_symmetry_Int_Tables_number 123
_symmetry_space_group_name_Hall '-P 4 2'
_cell_length_a 5.234
_cell_length_b 5.234
_cell_length_c 4.780
_cell_angle_alpha 90.00
_cell_angle_beta 90.00
_cell_angle_gamma 90.00
loop_
_atom_site_label
_atom_site_fract_x
_atom_site_fract_y
_atom_site_fract_z
Nb1 0.000 0.000 0.000
Os1 0.000 0.000 0.500
Au1 0.000 0.500 0.000
I1 0.500 0.500 0.500
# - formation energy without anion corrections (kJ/mol of atoms) = 138.76
# - density (g/cm³) = 10.20
# - final energy (eV per atom) = -4.443

=====

Entry 9:
# PBE-GGA ZrZnAs, optimized geometry
data_ZrZnAs
_symmetry_space_group_name_H-M 'F m m 2'
_symmetry_Int_Tables_number 42
_symmetry_space_group_name_Hall 'F 2 -2'
_cell_length_a 4.276
_cell_length_b 5.237
_cell_length_c 9.929
_cell_angle_alpha 90.00
_cell_angle_beta 90.00
_cell_angle_gamma 90.00
loop_
_atom_site_label
_atom_site_fract_x
_atom_site_fract_y
_atom_site_fract_z
Zr1 0.000 0.000 0.000
Zn1 0.000 0.000 0.679
As1 0.000 0.000 0.326
# - density (g/cm³) = 6.92
# - final energy (eV per atom) = -5.171

=====

Entry 10:
# PBE-GGA LiZn2H2, optimized geometry
data_LiZn2H2
_symmetry_space_group_name_H-M 'P 4/m b m'
_symmetry_Int_Tables_number 127
_symmetry_space_group_name_Hall '-P 4 2ab'
_cell_length_a 5.260
_cell_length_b 5.260
_cell_length_c 3.737
_cell_angle_alpha 90.00
_cell_angle_beta 90.00
_cell_angle_gamma 90.00
loop_
_atom_site_label
_atom_site_fract_x
_atom_site_fract_y
_atom_site_fract_z
Li1 0.000 0.000 0.000
Zn1 0.179 0.321 0.500
H1 0.191 0.309 0.000
# - energy relative to the lowest polymorph listed for this composition (meV per atom) = 0
# - density (g/cm³) = 4.49
# - final energy (eV per atom) = -2.202

=====

Entry 11:
# PBE-GGA TiMn4, optimized geometry
data_TiMn4
_symmetry_space_group_name_H-M 'P m -3 m'
_symmetry_Int_Tables_number 221
_symmetry_space_group_name_Hall '-P 4 2 3'
_cell_length_a 4.462
_cell_length_b 4.462
_cell_length_c 4.462
_cell_angle_alpha 90.00
_cell_angle_beta 90.00
_cell_angle_gamma 90.00
loop_
_atom_site_label
_atom_site_fract_x
_atom_site_fract_y
_atom_site_fract_z
Ti1 0.000 0.000 0.000
Mn1 0.000 0.000 0.500
Mn2 0.500 0.500 0.500
# - density (g/cm³) = 5.00
# - final energy (eV per atom) = -7.750

=====

Entry 12:
# PBE-GGA La2Sm6Tm3, optimized geometry
data_La2Sm6Tm3
_symmetry_space_group_name_H-M 'C 1 2/m 1'
_symmetry_Int_Tables_number 12
_symmetry_space_group_name_Hall '-C 2y'
_cell_length_a 6.178
_cell_length_b 10.709
_cell_length_c 11.869
_cell_angle_alpha 90.00
_cell_angle_beta 100.12
_cell_angle_gamma 90.00
loop_
_atom_site_label
_atom_site_fract_x
_atom_site_fract_y
_atom_site_fract_z
La1 0.000 0.167 0.000
Sm1 0.248 0.167 0.744
Sm2 0.248 0.500 0.744
Tm1 0.000 0.000 0.500
Tm2 0.000 0.334 0.500
# - density (g/cm³) = 7.25
# - final energy (eV per atom) = -4.519

=====

Question: The lowest density belongs to which entry?
Answer: LiZn2H2